Density functional theory data (meta-GGA SCAN) for a PBEsol-optimized structure of Ca2ZrSc.

Cell: 4.6577 4.6577 5.2240 Å, 90.00 90.00 90.00°
With the nearest neighbours (Å) after each atom.
Element x y z (fractional)
Ca 0.0000 0.5000 0.0000  4 Ca 3.29, 4 Zr 3.50, 4 Sc 3.50
Ca 0.5000 0.0000 0.0000  4 Ca 3.29, 4 Zr 3.50, 4 Sc 3.50
Zr 0.0000 0.0000 0.5000  4 Sc 3.29, 8 Ca 3.50
Sc 0.5000 0.5000 0.5000  4 Zr 3.29, 8 Ca 3.50

Computed properties:
total magnetic moment: 0.727 μB/atom
energy above the most stable polymorph in this dataset: 0 meV/atom
DFT formation energy: 393 meV per atom
total DFT energy (no corrections): -15.67 eV per atom